(1)
DFT (GGA-PBE) results for a relaxed structure of Nb2TcS6.

Geometry as POSCAR:
```
Nb2TcS6
1.0
5.966 0.000 0.000
0.000 5.966 0.000
0.000 0.000 9.965
Nb Tc S
4 2 12
Direct
0.000 0.000 0.169
0.000 0.000 0.831
0.500 0.500 0.331
0.500 0.500 0.669
0.000 0.000 0.500
0.500 0.500 0.000
0.206 0.206 0.336
0.206 0.206 0.664
0.213 0.213 0.000
0.287 0.713 0.500
0.294 0.706 0.164
0.294 0.706 0.836
0.706 0.294 0.164
0.706 0.294 0.836
0.713 0.287 0.500
0.787 0.787 0.000
0.794 0.794 0.336
0.794 0.794 0.664
```

Calculated density in kg/m³: 4459
Electronic total energy in eV/atom: -6.81
Uncorrected formation energy in eV/atom: -0.66
Magnetization in μB/cell: 0.0

---

(2)
DFT (GGA-PBE) results for a relaxed structure of ScZn5.

Geometry as POSCAR:
```
ScZn5
1.0
2.047 -5.677 0.000
2.047 5.677 0.000
0.000 0.000 4.175
Sc Zn
1 5
Direct
0.000 0.000 0.000
0.168 0.832 0.500
0.321 0.679 0.000
0.500 0.500 0.500
0.679 0.321 0.000
0.832 0.168 0.500
```

Calculated density in kg/m³: 6365
Electronic total energy in eV/atom: -2.30
Magnetization in μB/cell: 0.0

---

(3)
DFT (GGA-PBE) results for a relaxed structure of Th2GeAs.

Geometry as POSCAR:
```
Th2GeAs
1.0
2.097 1.211 7.398
-2.097 1.211 7.398
0.000 -2.422 7.398
Th Ge As
2 1 1
Direct
0.000 0.000 0.000
0.175 0.175 0.175
0.586 0.586 0.586
0.755 0.755 0.755
```

Calculated density in kg/m³: 9009
Electronic total energy in eV/atom: -6.97
Magnetization in μB/cell: 0.0

---

(4)
DFT (GGA-PBE) results for a relaxed structure of MgZrAu2.

Geometry as POSCAR:
```
MgZrAu2
1.0
-3.057 3.057 6.026
3.057 -3.057 6.026
3.057 3.057 -6.026
Mg Zr Au
2 2 4
Direct
0.000 0.000 0.000
0.750 0.250 0.500
0.250 0.750 0.500
0.500 0.500 0.000
0.113 0.625 0.988
0.375 0.363 0.488
0.637 0.125 0.012
0.875 0.887 0.512
```

Calculated density in kg/m³: 7512
Electronic total energy in eV/atom: -4.01
Magnetization in μB/cell: 0.0

---

(5)
DFT (GGA-PBE) results for a relaxed structure of LiTmZnPt.

Geometry as POSCAR:
```
LiTmZnPt
1.0
0.000 3.273 3.273
3.273 0.000 3.273
3.273 3.273 0.000
Li Tm Zn Pt
1 1 1 1
Direct
0.000 0.000 0.000
0.750 0.750 0.750
0.250 0.250 0.250
0.500 0.500 0.500
```

Calculated density in kg/m³: 10329
Electronic total energy in eV/atom: -4.09
Magnetization in μB/cell: 0.0

---

(6)
DFT (GGA-PBE) results for a relaxed structure of CdTcMo.

Geometry as POSCAR:
```
CdTcMo
1.0
2.653 0.000 0.000
0.000 4.639 0.000
0.000 0.000 4.915
Cd Tc Mo
1 1 1
Direct
0.000 0.000 0.000
0.500 0.500 0.251
0.500 0.500 0.715
```

Calculated density in kg/m³: 8409
Electronic total energy in eV/atom: -6.48
Magnetization in μB/cell: 0.0